First-principles (PBE) data for a geometry-optimized Ta7Nb2Os2 structure, as listed in Alexandria via LeMat-Bulk.

- space-group type = P-1, No. 2
- total DFT energy (no corrections) (eV per atom) = -11.13
- crystal system = triclinic
- N(E_F) (states/eV/f.u.) = 10.217

Cell lengths 5.557, 10.694, 7.688 Å; angles 40.23, 56.43, 43.15 degrees
Sites, in units of the cell vectors:
Ta  0.754  0.007  0.482
Ta  0.079  0.621  0.494
Ta  0.246  0.993  0.518
Ta  0.921  0.379  0.506
Ta  0.658  0.652  0.016
Ta  0.000  0.000  0.000
Ta  0.342  0.348  0.984
Nb  0.855  0.346  0.963
Nb  0.145  0.654  0.037
Os  0.525  0.158  0.734
Os  0.475  0.842  0.266